No. 1
Below is an optimized crystal structure of Pm3Te2S, with properties calculated at the PBE-GGA level.

Computed properties:
The density comes out at 6.84 g cm⁻³. For the final energy, the calculation gives -5.6247 eV per atom. The total magnetic moment is 0.00 μB/cell. The crystal system is orthorhombic. The energy relative to the elements, uncorrected comes out at -877 kJ/mol of formula units.

Unit cell a=7.5362 b=7.3828 c=7.3828 alpha=121.37 beta=90.00 gamma=90.00
Positions (direct):
Pm  0.4697  0.1434  0.8566
Pm  0.4697  0.8566  0.1434
Pm  0.9697  0.1434  0.8566
Pm  0.9696  0.5001  0.5001
Pm  0.9697  0.8566  0.1434
Pm  0.4696  0.4999  0.4999
Te  0.7197  0.1684  0.5191
Te  0.7197  0.5191  0.1684
Te  0.2197  0.8316  0.4809
Te  0.2197  0.4809  0.8316
S  0.2196  0.1759  0.1759
S  0.7196  0.8241  0.8241

***

No. 2
Below is an optimized crystal structure of SmMg2Bi2, with properties calculated at the PBE-GGA level.

Computed properties:
The density comes out at 6.75 g cm⁻³. For the final energy, the calculation gives -3.5466 eV per atom. The total magnetic moment is 0.00 μB/cell. The crystal system is trigonal. Its formation energy from the elements is -413 meV per atom.

Unit cell a=4.8516 b=4.8516 c=7.4495 alpha=90.00 beta=90.00 gamma=120.00
Positions (direct):
Bi  0.3333  0.6667  0.2408
Bi  0.6667  0.3333  0.7592
Sm  0.0000  0.0000  0.0000
Mg  0.6667  0.3333  0.3559
Mg  0.3333  0.6667  0.6441

***

No. 3
Below is an optimized crystal structure of ZrVH3, with properties calculated at the PBE-GGA level.

Computed properties:
The density comes out at 5.62 g cm⁻³. For the final energy, the calculation gives -5.8275 eV per atom. The total magnetic moment is 0.00 μB/cell. The crystal system is monoclinic.

Unit cell a=4.8074 b=5.7105 c=6.3647 alpha=101.11 beta=90.00 gamma=90.00
Positions (direct):
Zr  0.7499  0.6398  0.6835
Zr  0.7501  0.6398  0.1835
Zr  0.2501  0.3602  0.3165
Zr  0.2499  0.3602  0.8165
H  0.8993  0.8272  0.9628
H  0.9535  0.0809  0.6807
H  0.4535  0.9191  0.8193
H  0.1729  0.5861  0.6068
H  0.3271  0.5861  0.1068
H  0.3993  0.1728  0.5372
H  0.1007  0.1728  0.0372
H  0.5465  0.0809  0.1807
H  0.0465  0.9191  0.3193
H  0.6729  0.4139  0.8932
H  0.8271  0.4139  0.3932
H  0.6007  0.8272  0.4628
V  0.7512  0.1190  0.9372
V  0.2512  0.8810  0.5628
V  0.7488  0.1190  0.4372
V  0.2488  0.8810  0.0628

***

No. 4
Below is an optimized crystal structure of Ba2Tb2Pd15, with properties calculated at the PBE-GGA level.

Computed properties:
The density comes out at 9.88 g cm⁻³. For the final energy, the calculation gives -5.2771 eV per atom. The total magnetic moment is 0.00 μB/cell. The crystal system is trigonal. Its formation energy from the elements is -488 meV per atom.

Unit cell a=7.2343 b=7.2343 c=7.2343 alpha=81.79 beta=81.79 gamma=81.79
Positions (direct):
Pd  0.2928  0.7072  0.0000
Pd  0.3454  0.8484  0.3454
Pd  0.1516  0.6546  0.6546
Pd  0.7072  0.2928  0.0000
Pd  0.5000  0.0000  0.0000
Pd  0.0000  0.0000  0.5000
Pd  0.3454  0.3454  0.8484
Pd  0.0000  0.7072  0.2928
Pd  0.0000  0.5000  0.0000
Pd  0.6546  0.1516  0.6546
Pd  0.6546  0.6546  0.1516
Pd  0.2928  0.0000  0.7072
Pd  0.0000  0.2928  0.7072
Pd  0.7072  0.0000  0.2928
Pd  0.8484  0.3454  0.3454
Tb  0.1099  0.1099  0.1099
Tb  0.8901  0.8901  0.8901
Ba  0.3585  0.3585  0.3585
Ba  0.6415  0.6415  0.6415

***

No. 5
Below is an optimized crystal structure of PmGd2O, with properties calculated at the PBE-GGA level.

Computed properties:
The density comes out at 8.43 g cm⁻³. For the final energy, the calculation gives -10.3267 eV per atom. The total magnetic moment is 15.16 μB/cell. The crystal system is tetragonal. The energy relative to the elements, uncorrected comes out at -332 kJ/mol of formula units.

Unit cell a=3.2254 b=3.2254 c=9.0019 alpha=90.00 beta=90.00 gamma=90.00
Each line ends with the local moment (μB).
Positions (direct):
O  0.5000  0.5000  0.0000  -0.02
Gd  0.0000  0.0000  0.1705  7.37
Gd  0.0000  0.0000  0.8295  7.37
Pm  0.5000  0.5000  0.5000  -0.09

***

No. 6
Below is an optimized crystal structure of Ba3PmRu2O9, with properties calculated at the PBE-GGA level.

Computed properties:
The density comes out at 6.69 g cm⁻³. For the final energy, the calculation gives -7.0613 eV per atom. The total magnetic moment is 5.06 μB/cell. The crystal system is trigonal. The energy relative to the elements, uncorrected comes out at -3109 kJ/mol of formula units.

Unit cell a=5.9295 b=5.9295 c=7.3587 alpha=90.00 beta=90.00 gamma=120.00
Each line ends with the local moment (μB).
Positions (direct):
Ru  0.6667  0.3333  0.8403  1.68
Ru  0.3333  0.6667  0.1597  1.68
O  0.1781  0.8219  0.3132  0.10
O  0.3562  0.1781  0.6868  0.10
O  0.8219  0.1781  0.6868  0.10
O  0.0000  0.5000  0.0000  0.20
O  0.1781  0.3562  0.3132  0.10
O  0.5000  0.5000  0.0000  0.20
O  0.8219  0.6438  0.6868  0.10
O  0.5000  0.0000  0.0000  0.20
O  0.6438  0.8219  0.3132  0.10
Ba  0.0000  0.0000  0.0000  0.01
Ba  0.3333  0.6667  0.6852  0.01
Ba  0.6667  0.3333  0.3148  0.01
Pm  0.0000  0.0000  0.5000  -0.01

***

No. 7
Below is an optimized crystal structure of Zr3TcS, with properties calculated at the PBE-GGA level.

Computed properties:
The density comes out at 5.31 g cm⁻³. For the final energy, the calculation gives -7.5632 eV per atom. The total magnetic moment is 0.00 μB/cell. The crystal system is cubic. The energy relative to the elements, uncorrected comes out at 224 kJ/mol of formula units.

Unit cell a=5.0169 b=5.0169 c=5.0169 alpha=90.00 beta=90.00 gamma=90.00
Positions (direct):
Tc  0.0000  0.0000  0.0000
Zr  0.0000  0.0000  0.5000
Zr  0.5000  0.0000  0.0000
Zr  0.0000  0.5000  0.0000
S  0.5000  0.5000  0.5000

***

No. 8
Below is an optimized crystal structure of Zr3BiH, with properties calculated at the PBE-GGA level.

Computed properties:
The density comes out at 7.92 g cm⁻³. For the final energy, the calculation gives -6.6926 eV per atom. The total magnetic moment is 0.00 μB/cell. The crystal system is orthorhombic.

Unit cell a=6.0126 b=6.0126 c=6.4377 alpha=90.00 beta=90.00 gamma=119.32
Positions (direct):
Zr  0.5190  0.9779  0.2500
Zr  0.0000  0.0000  0.0000
Zr  0.0221  0.4810  0.2500
Zr  0.4810  0.0221  0.7500
Zr  0.0000  0.0000  0.5000
Zr  0.9779  0.5190  0.7500
H  0.1277  0.8724  0.2500
H  0.8724  0.1277  0.7500
Bi  0.5261  0.4739  0.2500
Bi  0.4739  0.5261  0.7500

***

No. 9
Below is an optimized crystal structure of PaGa4Ir2, with properties calculated at the PBE-GGA level.

Computed properties:
The density comes out at 12.14 g cm⁻³. For the final energy, the calculation gives -6.1930 eV per atom. The total magnetic moment is 0.00 μB/cell. The crystal system is orthorhombic. Its formation energy from the elements is -575 meV per atom.

Unit cell a=4.2289 b=6.7224 c=17.2067 alpha=90.00 beta=90.00 gamma=90.00
Positions (direct):
Ga  0.7500  0.0035  0.0721
Ga  0.2500  0.5035  0.4279
Ga  0.2500  0.2462  0.1887
Ga  0.7500  0.3497  0.3157
Ga  0.2500  0.8497  0.1843
Ga  0.2500  0.6503  0.6843
Ga  0.7500  0.7538  0.8113
Ga  0.2500  0.9965  0.9279
Ga  0.7500  0.6539  0.9635
Ga  0.2500  0.2538  0.6887
Ga  0.7500  0.7462  0.3113
Ga  0.2500  0.3461  0.0365
Ga  0.2500  0.1539  0.5365
Ga  0.7500  0.1503  0.8157
Ga  0.7500  0.8461  0.4635
Ga  0.7500  0.4965  0.5721
Ir  0.7500  0.0509  0.2216
Ir  0.2500  0.7560  0.5409
Ir  0.7500  0.2560  0.9591
Ir  0.7500  0.2440  0.4591
Ir  0.2500  0.9491  0.7784
Ir  0.2500  0.7440  0.0409
Ir  0.7500  0.4491  0.7216
Ir  0.2500  0.5509  0.2784
Pa  0.7500  0.9611  0.6398
Pa  0.2500  0.0389  0.3602
Pa  0.7500  0.5389  0.1398
Pa  0.2500  0.4611  0.8602

***

No. 10
Below is an optimized crystal structure of Tm2CuGe3, with properties calculated at the PBE-GGA level.

Computed properties:
The density comes out at 8.80 g cm⁻³. For the final energy, the calculation gives -5.0719 eV per atom. The total magnetic moment is 0.00 μB/cell. The crystal system is orthorhombic. Its formation energy from the elements is -590 meV per atom.

Unit cell a=5.7175 b=5.7175 c=8.1738 alpha=109.40 beta=109.40 gamma=92.87
Positions (direct):
Ge  0.3469  0.8242  0.1710
Ge  0.8297  0.8297  0.6595
Ge  0.8242  0.3469  0.1710
Ge  0.6531  0.1758  0.8290
Ge  0.1758  0.6531  0.8290
Ge  0.1703  0.1703  0.3405
Tm  0.2421  0.2421  0.0000
Tm  0.2500  0.7500  0.5000
Tm  0.7500  0.2500  0.5000
Tm  0.7579  0.7579  0.0000
Cu  0.6676  0.6676  0.3352
Cu  0.3324  0.3324  0.6648

***

> Number 3 is which compound?

ZrVH3

***

> Which of these has the lowest final energy?

PmGd2O

***

> What is the total magnetic moment in the second record?

0.00 μB/cell

***

Please write out number 6 again, unchanged.
Below is an optimized crystal structure of Ba3PmRu2O9, with properties calculated at the PBE-GGA level.

Computed properties:
The density comes out at 6.69 g cm⁻³. For the final energy, the calculation gives -7.0613 eV per atom. The total magnetic moment is 5.06 μB/cell. The crystal system is trigonal. The energy relative to the elements, uncorrected comes out at -3109 kJ/mol of formula units.

Unit cell a=5.9295 b=5.9295 c=7.3587 alpha=90.00 beta=90.00 gamma=120.00
Each line ends with the local moment (μB).
Positions (direct):
Ru  0.6667  0.3333  0.8403  1.68
Ru  0.3333  0.6667  0.1597  1.68
O  0.1781  0.8219  0.3132  0.10
O  0.3562  0.1781  0.6868  0.10
O  0.8219  0.1781  0.6868  0.10
O  0.0000  0.5000  0.0000  0.20
O  0.1781  0.3562  0.3132  0.10
O  0.5000  0.5000  0.0000  0.20
O  0.8219  0.6438  0.6868  0.10
O  0.5000  0.0000  0.0000  0.20
O  0.6438  0.8219  0.3132  0.10
Ba  0.0000  0.0000  0.0000  0.01
Ba  0.3333  0.6667  0.6852  0.01
Ba  0.6667  0.3333  0.3148  0.01
Pm  0.0000  0.0000  0.5000  -0.01